Material: FeCu2Rh4
Method: DFT, PBE-GGA
State: optimized geometry

extended XYZ file:
```
7
Lattice="4.498 0.000 0.000 0.000 4.498 0.000 2.249 2.249 6.014" Properties=species:S:1:pos:R:3 pbc="T T T"
Rh 4.498 4.498 2.267
Rh 2.249 2.249 3.746
Rh 0.000 2.249 0.000
Rh 2.249 0.000 0.000
Fe 0.000 0.000 0.000
Cu 4.498 4.498 4.725
Cu 2.249 2.249 1.288
```

Computed properties:
relative energy among the computed polymorphs	907	meV/atom
ΔH_f (0 K)	991.9	meV/atom